Entry 1:
{"formula": "LiLa4MnO8", "functional": "PBEsol", "state": "optimized geometry", "raw_formation_energy_mev_per_atom": -3006.8, "volume_a3_per_cell": 360.43, "energy_ev_per_atom": -8.37, "lattice": [[-1.4839, 1.7187, 4.7898], [0.1919, -4.9668, 1.8417], [12.9520, 3.2913, -0.1016]], "species": ["O", "O", "O", "O", "O", "O", "O", "O", "O", "O", "O", "O", "O", "O", "O", "O", "Li", "Li", "Mn", "Mn", "La", "La", "La", "La", "La", "La", "La", "La"], "frac_coords": [[0.3403, 0.8403, 0.6805], [0.6598, 0.1598, 0.3196], [0.7531, 0.7531, 0.0000], [0.2469, 0.7531, 0.0000], [0.8402, 0.3402, 0.6804], [0.7531, 0.2469, 0.0000], [0.4969, 0.9969, 0.5000], [0.9097, 0.9097, 0.8195], [0.2469, 0.2469, 0.0000], [0.4969, 0.5031, 0.5000], [0.0031, 0.5031, 0.5000], [0.0031, 0.9969, 0.5000], [0.4098, 0.4098, 0.8196], [0.5902, 0.5902, 0.1804], [0.0903, 0.0903, 0.1805], [0.1597, 0.6597, 0.3195], [0.7500, 0.2500, 0.5000], [0.5000, 0.5000, 0.0000], [0.2500, 0.7500, 0.5000], [0.0000, 0.0000, 0.0000], [0.3193, 0.3193, 0.6387], [0.9307, 0.4307, 0.8613], [0.1819, 0.1819, 0.3638], [0.6807, 0.6807, 0.3613], [0.4319, 0.9319, 0.8638], [0.0681, 0.5681, 0.1362], [0.8181, 0.8181, 0.6362], [0.5693, 0.0693, 0.1387]]}

Entry 2:
{"formula": "SrLiLa3MnO8", "functional": "PBEsol", "state": "optimized geometry", "raw_formation_energy_mev_per_atom": -2924.0, "volume_a3_per_cell": 177.84, "polymorph_energy_mev_per_atom": 5.8, "energy_ev_per_atom": -8.04, "lattice": [[5.3251, 0.0000, 0.0000], [0.0000, 5.3401, 0.0000], [-2.6625, 0.0000, 6.2539]], "species": ["O", "O", "O", "O", "O", "O", "O", "O", "Mn", "La", "La", "La", "Li", "Sr"], "frac_coords": [[0.6793, 0.5000, 0.3585], [0.2415, 0.7560, 0.9934], [0.7519, 0.7560, 0.9934], [0.1619, 0.0000, 0.3238], [0.3177, 0.5000, 0.6355], [0.8419, 0.0000, 0.6838], [0.2415, 0.2440, 0.9934], [0.7519, 0.2440, 0.9934], [0.0002, 0.0000, 0.0005], [0.3657, 0.0000, 0.7315], [0.8605, 0.5000, 0.7210], [0.1359, 0.5000, 0.2719], [0.5091, 0.5000, 0.0183], [0.6410, 0.0000, 0.2820]]}

Entry 3:
{"formula": "SrLiLa3MnO8", "functional": "PBEsol", "state": "optimized geometry", "raw_formation_energy_mev_per_atom": -2929.7, "volume_a3_per_cell": 356.41, "polymorph_energy_mev_per_atom": 0.0, "energy_ev_per_atom": -8.04, "lattice": [[-0.9036, -4.3950, -2.8712], [6.6111, 1.4886, 0.5823], [0.5499, -5.9182, 8.8860]], "species": ["La", "La", "La", "La", "La", "La", "O", "O", "O", "O", "O", "O", "O", "O", "O", "O", "O", "O", "O", "O", "O", "O", "Sr", "Sr", "Mn", "Mn", "Li", "Li"], "frac_coords": [[0.6371, 0.2742, 0.0014], [0.3629, 0.7258, 0.9986], [0.1350, 0.2700, 0.7500], [0.6371, 0.2742, 0.4986], [0.8650, 0.7300, 0.2500], [0.3629, 0.7258, 0.5014], [0.3378, 0.6756, 0.7500], [0.8188, 0.6375, 0.4835], [0.1812, 0.3625, 0.5165], [0.7436, 0.9986, 0.6277], [0.3430, 0.6860, 0.2500], [0.2551, 0.9986, 0.6277], [0.6570, 0.3140, 0.7500], [0.2564, 0.0014, 0.3723], [0.8188, 0.6375, 0.0165], [0.7449, 0.0014, 0.1277], [0.2564, 0.0014, 0.1277], [0.2551, 0.9986, 0.8723], [0.7449, 0.0014, 0.3723], [0.7436, 0.9986, 0.8723], [0.1812, 0.3625, 0.9835], [0.6622, 0.3244, 0.2500], [0.1408, 0.2816, 0.2500], [0.8592, 0.7184, 0.7500], [0.5027, 0.0053, 0.2500], [0.4973, 0.9947, 0.7500], [0.0000, 0.0000, 0.0000], [0.0000, 0.0000, 0.5000]]}

Entry 4:
{"formula": "LiLaMo", "functional": "PBEsol", "state": "optimized geometry", "volume_a3_per_cell": 62.77, "polymorph_energy_mev_per_atom": 561.4, "formation_enthalpy_0k_ev_per_atom": 1.154, "energy_ev_per_atom": -5.21, "lattice": [[4.4608, 0.0000, 0.0000], [2.2304, 3.8632, 0.0000], [2.2304, 1.2877, 3.6422]], "species": ["La", "Mo", "Li"], "frac_coords": [[0.5000, 0.5000, 0.5000], [0.0000, 0.0000, 0.0000], [0.2500, 0.2500, 0.2500]]}

Entry 5:
{"formula": "LiLaMo2", "functional": "PBEsol", "state": "optimized geometry", "volume_a3_per_cell": 71.68, "polymorph_energy_mev_per_atom": 0.0, "formation_enthalpy_0k_ev_per_atom": 0.532, "energy_ev_per_atom": -7.18, "lattice": [[-3.6364, 2.9069, -0.2357], [-4.3132, -1.5958, 0.7680], [-2.2732, 1.2089, 3.8872]], "species": ["Li", "Mo", "Mo", "La"], "frac_coords": [[0.2502, 0.2498, 0.2498], [0.7499, 0.7501, 0.7501], [0.0000, 0.0000, 0.0000], [0.5000, 0.5000, 0.5000]]}

Entry 6:
{"formula": "LiLaMo", "functional": "PBEsol", "state": "optimized geometry", "volume_a3_per_cell": 60.90, "polymorph_energy_mev_per_atom": 89.4, "formation_enthalpy_0k_ev_per_atom": 0.682, "energy_ev_per_atom": -5.68, "lattice": [[-1.2809, 2.6244, -0.3410], [0.7656, -1.5797, -2.3585], [-7.3117, -3.5667, 0.0156]], "species": ["Li", "La", "Mo"], "frac_coords": [[0.6667, 0.3333, 0.6331], [0.0000, 0.0000, 0.0172], [0.3333, 0.6667, 0.3498]]}

Entry 7:
{"formula": "LiLaMo2", "functional": "PBEsol", "state": "optimized geometry", "volume_a3_per_cell": 71.26, "polymorph_energy_mev_per_atom": 130.0, "formation_enthalpy_0k_ev_per_atom": 0.662, "energy_ev_per_atom": -7.05, "lattice": [[3.3876, 0.0000, 0.0000], [0.0000, 4.4383, 0.0000], [-1.6938, -2.2191, 4.7394]], "species": ["La", "Mo", "Mo", "Li"], "frac_coords": [[0.5000, 0.0000, 0.0000], [0.7509, 0.7509, 0.5019], [0.2491, 0.2491, 0.4981], [0.0000, 0.5000, 0.0000]]}

Entry 8:
{"formula": "LiLaMo", "functional": "PBEsol", "state": "optimized geometry", "volume_a3_per_cell": 62.89, "polymorph_energy_mev_per_atom": 0.0, "formation_enthalpy_0k_ev_per_atom": 0.592, "energy_ev_per_atom": -5.77, "lattice": [[3.0519, -0.0141, 0.0000], [-1.1639, 2.8213, 0.0000], [-0.9440, -1.4036, 7.3184]], "species": ["La", "Li", "Mo"], "frac_coords": [[0.9793, 0.9793, 0.9586], [0.6871, 0.6871, 0.3741], [0.3336, 0.3336, 0.6672]]}

Entry 9:
{"formula": "LiLaMo", "functional": "PBEsol", "state": "optimized geometry", "volume_a3_per_cell": 58.12, "polymorph_energy_mev_per_atom": 33.1, "formation_enthalpy_0k_ev_per_atom": 0.625, "energy_ev_per_atom": -5.74, "lattice": [[2.8104, 0.0000, 0.0000], [0.0000, 4.5393, 0.0000], [-1.4052, -2.2696, 4.5562]], "species": ["La", "Li", "Mo"], "frac_coords": [[0.9980, 0.9980, 0.9959], [0.6792, 0.6792, 0.3583], [0.3229, 0.3229, 0.6457]]}

Entry 10:
{"formula": "LiLaMo2", "functional": "PBEsol", "state": "optimized geometry", "volume_a3_per_cell": 71.68, "polymorph_energy_mev_per_atom": 126.6, "formation_enthalpy_0k_ev_per_atom": 0.659, "energy_ev_per_atom": -7.05, "lattice": [[-0.2892, 2.5691, -0.9559], [-3.9741, -0.1915, 3.4536], [5.1866, 0.4977, 2.3600]], "species": ["Mo", "Mo", "Li", "La"], "frac_coords": [[0.5000, 0.5000, 0.5000], [0.0000, 0.0000, 0.5000], [0.5000, 0.0000, 0.0000], [0.0000, 0.5000, 0.0000]]}

Entry 11:
{"formula": "LiLa2MoO6", "functional": "PBEsol", "state": "optimized geometry", "raw_formation_energy_mev_per_atom": -2817.1, "volume_a3_per_cell": 244.38, "energy_ev_per_atom": -8.41, "lattice": [[5.5324, 0.0000, 0.0470], [0.0000, 5.6604, 0.0000], [-0.0942, 0.0000, 7.8028]], "species": ["O", "O", "O", "O", "O", "O", "O", "O", "O", "O", "O", "O", "Li", "Li", "Mo", "Mo", "La", "La", "La", "La"], "frac_coords": [[0.3090, 0.7838, 0.0488], [0.4133, 0.5190, 0.7569], [0.2112, 0.3081, 0.0424], [0.5867, 0.4810, 0.2431], [0.6910, 0.2162, 0.9512], [0.8090, 0.7162, 0.5488], [0.0867, 0.0190, 0.7431], [0.2888, 0.8081, 0.4576], [0.1910, 0.2838, 0.4512], [0.7112, 0.1919, 0.5424], [0.9133, 0.9810, 0.2569], [0.7888, 0.6919, 0.9576], [0.0000, 0.0000, 0.0000], [0.5000, 0.5000, 0.5000], [0.5000, 0.5000, 0.0000], [0.0000, 0.0000, 0.5000], [0.5100, 0.9438, 0.7490], [0.4900, 0.0562, 0.2510], [0.0100, 0.5562, 0.2490], [0.9900, 0.4438, 0.7510]]}

Entry 12:
{"formula": "LiLa2MoPt", "functional": "PBEsol", "state": "optimized geometry", "volume_a3_per_cell": 155.33, "formation_enthalpy_0k_ev_per_atom": 0.386, "energy_ev_per_atom": -5.89, "lattice": [[4.8017, 0.0000, 0.0000], [0.0000, 5.6876, 0.0000], [0.0000, 0.0000, 5.6876]], "species": ["La", "La", "Pt", "Mo", "Li"], "frac_coords": [[0.0000, 0.0000, 0.5000], [0.0000, 0.5000, 0.0000], [0.0000, 0.0000, 0.0000], [0.5000, 0.0000, 0.0000], [0.5000, 0.5000, 0.5000]]}

| no. | magnetization (μB per formula unit) |
| --- | --- |
| 1 | 4.0 |
| 2 | 3.0 |
| 3 | 3.0 |
| 4 | 0.0 |
| 5 | 0.0 |
| 6 | 0.0 |
| 7 | 0.0 |
| 8 | 0.0 |
| 9 | 0.0 |
| 10 | 0.0 |
| 11 | 1.0 |
| 12 | 0.6 |